[1]
{
  "formula": "CsHf3Pd",
  "functional": "PBE",
  "state": "optimized geometry",
  "e_above_lowest_polymorph_mev_per_atom": 0,
  "final_energy_ev_per_cell": -31.8,
  "cell": [[5.226, 0.000, 0.000], [0.000, 5.226, 0.000], [0.000, 0.000, 5.226]],
  "species": ["Cs", "Hf", "Hf", "Hf", "Pd"],
  "fractional_positions": [[0.500, 0.500, 0.500], [0.000, 0.500, 0.000], [0.000, 0.000, 0.500], [0.500, 0.000, 0.000], [0.000, 0.000, 0.000]]
}


[2]
{
  "formula": "Li3ThGe2",
  "functional": "PBE",
  "state": "optimized geometry",
  "final_energy_ev_per_cell": -50.8,
  "cell": [[4.291, 0.000, 0.000], [-2.146, 7.729, 0.031], [0.000, -3.465, 6.934]],
  "species": ["Li", "Li", "Li", "Li", "Li", "Li", "Th", "Th", "Ge", "Ge", "Ge", "Ge"],
  "fractional_positions": [[0.310, 0.620, 0.537], [0.954, 0.907, 0.619], [0.604, 0.208, 0.691], [0.396, 0.792, 0.309], [0.046, 0.093, 0.381], [0.690, 0.380, 0.463], [0.857, 0.714, 0.943], [0.143, 0.286, 0.057], [0.482, 0.964, 0.827], [0.518, 0.036, 0.173], [0.799, 0.597, 0.277], [0.201, 0.403, 0.723]]
}


[3]
{
  "formula": "Co2Tc",
  "functional": "PBE",
  "state": "optimized geometry",
  "e_above_lowest_polymorph_mev_per_atom": 300,
  "final_energy_ev_per_cell": -94.8,
  "cell": [[-2.047, 0.902, -1.178], [-2.190, -0.988, 3.049], [2.500, 13.906, 6.301]],
  "species": ["Co", "Co", "Co", "Co", "Co", "Co", "Co", "Co", "Tc", "Tc", "Tc", "Tc"],
  "fractional_positions": [[0.000, 0.250, 0.039], [0.000, 0.250, 0.190], [0.000, 0.750, 0.810], [0.000, 0.750, 0.961], [0.500, 0.250, 0.310], [0.500, 0.250, 0.461], [0.500, 0.750, 0.539], [0.500, 0.750, 0.690], [0.000, 0.250, 0.609], [0.000, 0.750, 0.391], [0.500, 0.250, 0.891], [0.500, 0.750, 0.109]]
}


[4]
{
  "formula": "LiPrTmSi",
  "functional": "PBE",
  "state": "optimized geometry",
  "raw_formation_energy_kj_per_mol_fu": -127,
  "final_energy_ev_per_cell": -17.9,
  "cell": [[-0.331, 4.981, 0.738], [-4.525, 2.195, 0.409], [-1.540, 1.794, 4.458]],
  "species": ["Pr", "Si", "Tm", "Li"],
  "fractional_positions": [[0.750, 0.750, 0.750], [0.500, 0.500, 0.500], [0.250, 0.250, 0.250], [0.000, 0.000, 0.000]]
}


[5]
{
  "formula": "CaLaHoCd",
  "functional": "PBE",
  "state": "optimized geometry",
  "e_above_lowest_polymorph_mev_per_atom": 0,
  "final_energy_ev_per_cell": -13.0,
  "cell": [[-1.888, -2.953, 1.099], [2.723, -2.174, -1.163], [4.116, 0.563, 8.582]],
  "species": ["Ca", "La", "Ho", "Cd"],
  "fractional_positions": [[0.500, 0.500, 0.776], [0.000, 0.000, 0.095], [0.500, 0.500, 0.357], [0.000, 0.000, 0.556]]
}


[6]
{
  "formula": "NaTmAs2O6",
  "functional": "PBE",
  "state": "optimized geometry",
  "raw_formation_energy_kj_per_mol_fu": -1799,
  "final_energy_ev_per_cell": -127.0,
  "cell": [[-2.919, -1.648, 5.911], [4.208, -4.501, 3.251], [2.270, 4.505, 4.805]],
  "species": ["Na", "Na", "Tm", "Tm", "As", "As", "As", "As", "O", "O", "O", "O", "O", "O", "O", "O", "O", "O", "O", "O"],
  "fractional_positions": [[0.250, 0.289, 0.711], [0.750, 0.711, 0.289], [0.250, 0.908, 0.092], [0.750, 0.092, 0.908], [0.251, 0.776, 0.620], [0.249, 0.380, 0.224], [0.749, 0.224, 0.380], [0.751, 0.620, 0.776], [0.129, 0.974, 0.804], [0.371, 0.196, 0.026], [0.871, 0.026, 0.196], [0.629, 0.804, 0.974], [0.277, 0.906, 0.390], [0.223, 0.610, 0.094], [0.723, 0.094, 0.610], [0.777, 0.390, 0.906], [0.042, 0.638, 0.671], [0.458, 0.329, 0.362], [0.958, 0.362, 0.329], [0.542, 0.671, 0.638]]
}


[7]
{
  "formula": "BaHf2SnSb",
  "functional": "PBE",
  "state": "optimized geometry",
  "raw_formation_energy_kj_per_mol_fu": 867,
  "final_energy_ev_per_cell": -21.0,
  "cell": [[5.429, 0.000, 0.000], [0.000, 5.992, 0.000], [0.000, 0.000, 5.429]],
  "species": ["Sb", "Hf", "Hf", "Ba", "Sn"],
  "fractional_positions": [[0.000, 0.500, 0.000], [0.000, 0.000, 0.500], [0.500, 0.000, 0.000], [0.000, 0.000, 0.000], [0.500, 0.500, 0.500]]
}


[8]
{
  "formula": "CsFePb2",
  "functional": "PBE",
  "state": "optimized geometry",
  "final_energy_ev_per_cell": -30.8,
  "cell": [[-4.173, -1.842, 5.610], [5.412, -3.941, 2.732], [2.810, 2.467, 7.560]],
  "species": ["Pb", "Pb", "Pb", "Pb", "Cs", "Cs", "Fe", "Fe"],
  "fractional_positions": [[0.375, 0.125, 0.250], [0.375, 0.625, 0.250], [0.375, 0.625, 0.750], [0.875, 0.625, 0.750], [0.000, 0.000, 0.000], [0.750, 0.250, 0.500], [0.500, 0.500, 0.000], [0.250, 0.750, 0.500]]
}


[9]
{
  "formula": "YMgSi2",
  "functional": "PBE",
  "state": "optimized geometry",
  "raw_formation_energy_kj_per_mol_fu": -169,
  "final_energy_ev_per_cell": -20.7,
  "cell": [[-1.766, -0.990, 3.187], [-3.416, -1.067, -2.224], [0.092, -5.266, -1.584]],
  "species": ["Y", "Si", "Si", "Mg"],
  "fractional_positions": [[0.000, 0.484, 0.408], [0.000, 0.202, 0.972], [0.500, 0.047, 0.281], [0.500, 0.767, 0.840]]
}


[10]
{
  "formula": "P2OsPb",
  "functional": "PBE",
  "state": "optimized geometry",
  "final_energy_ev_per_cell": -25.3,
  "cell": [[3.956, 0.000, 0.000], [0.000, 4.490, -0.003], [0.000, 1.366, 4.578]],
  "species": ["Os", "P", "P", "Pb"],
  "fractional_positions": [[0.500, 0.750, 0.750], [0.000, 0.000, 0.839], [0.000, 0.500, 0.661], [0.500, 0.250, 0.250]]
}


[11]
{
  "formula": "CeDySnGe",
  "functional": "PBE",
  "state": "optimized geometry",
  "final_energy_ev_per_cell": -21.3,
  "cell": [[5.261, 0.000, 0.000], [2.630, 4.556, 0.000], [2.630, 1.519, 4.295]],
  "species": ["Ge", "Sn", "Ce", "Dy"],
  "fractional_positions": [[0.000, 0.000, 0.000], [0.500, 0.500, 0.500], [0.750, 0.750, 0.750], [0.250, 0.250, 0.250]]
}


[12]
{
  "formula": "NaCa3O4",
  "functional": "PBE",
  "state": "optimized geometry",
  "raw_formation_energy_kj_per_mol_fu": -1856,
  "final_energy_ev_per_cell": -46.4,
  "cell": [[4.400, 0.004, -1.951], [-0.868, 4.314, -1.950], [0.003, 0.003, 5.945]],
  "species": ["Na", "Ca", "Ca", "Ca", "O", "O", "O", "O"],
  "fractional_positions": [[0.000, 0.000, 0.000], [0.500, 0.500, 0.000], [0.750, 0.250, 0.500], [0.250, 0.750, 0.500], [0.000, 0.500, 0.000], [0.500, 0.000, 0.000], [0.261, 0.261, 0.522], [0.739, 0.739, 0.478]]
}